[1]
VASP calculation (PBE) on ReRuW2 after structural relaxation.

Properties
* ΔE to the lowest computed polymorph: 0.24 eV per formula unit
* calculated volume: 15.4 A^3/atom
* space group: C2/m, No. 12
* density of states at the Fermi level: 4.5 states/eV/f.u.
* ΔE_f: 0.187 eV per atom

Lattice parameters (Å, degrees): 5.1839 5.1839 2.7307 100.64 100.64 116.25
Element x y z (fractional)
Re1 0.0000 0.0000 0.0000
Ru1 0.5000 0.5000 0.0000
W1 0.0000 0.5000 0.5000
W2 0.5000 0.0000 0.5000

[2]
VASP calculation (PBE) on Re2RuW after structural relaxation.

Properties
* ΔE to the lowest computed polymorph: 0.13 eV per formula unit
* calculated volume: 15.1 A^3/atom
* space group: I4/mmm, No. 139
* density of states at the Fermi level: 4.1 states/eV/f.u.
* ΔE_f: 0.092 eV per atom

Lattice parameters (Å, degrees): 4.8328 4.8328 4.8328 132.49 132.49 69.46
Element x y z (fractional)
Re1 0.2500 0.7500 0.5000
Re2 0.7500 0.2500 0.5000
Ru1 0.0000 0.0000 0.0000
W1 0.5000 0.5000 0.0000

[3]
VASP calculation (PBE) on Re2RuW after structural relaxation.

Properties
* ΔE to the lowest computed polymorph: 0.09 eV per formula unit
* calculated volume: 15.1 A^3/atom
* space group: Pmm2, No. 25
* density of states at the Fermi level: 3.5 states/eV/f.u.
* ΔE_f: 0.082 eV per atom

Lattice parameters (Å, degrees): 2.7741 3.8993 5.5657 90.00 90.00 90.00
Element x y z (fractional)
Re1 0.0000 0.0000 0.0000
Re2 0.5000 0.5000 0.2407
Ru1 0.0000 0.0000 0.4891
W1 0.5000 0.5000 0.7369

[4]
VASP calculation (PBE) on Re2RuW after structural relaxation.

Properties
* ΔE to the lowest computed polymorph: 6.50 eV per formula unit
* calculated volume: 22.6 A^3/atom
* space group: I-42d, No. 122
* density of states at the Fermi level: 2.3 states/eV/f.u.
* ΔE_f: 1.684 eV per atom

Lattice parameters (Å, degrees): 6.9940 6.9940 6.9940 132.81 132.81 68.95
Element x y z (fractional)
Re1 0.1099 0.6250 0.9849
Re2 0.3750 0.3599 0.4849
Re3 0.6401 0.1250 0.0151
Re4 0.8750 0.8901 0.5151
Ru1 0.0000 0.0000 0.0000
Ru2 0.7500 0.2500 0.5000
W1 0.2500 0.7500 0.5000
W2 0.5000 0.5000 0.0000

[5]
VASP calculation (PBE) on Re2RuW after structural relaxation.

Properties
* ΔE to the lowest computed polymorph: 0.31 eV per formula unit
* calculated volume: 15.1 A^3/atom
* space group: R3m, No. 160
* density of states at the Fermi level: 5.1 states/eV/f.u.
* ΔE_f: 0.137 eV per atom

Lattice parameters (Å, degrees): 9.2468 9.2468 9.2468 17.22 17.22 17.22
Element x y z (fractional)
Re1 0.0000 0.0000 0.0000
Re2 0.2528 0.2528 0.2528
Ru1 0.7507 0.7507 0.7507
W1 0.4990 0.4990 0.4990

[6]
VASP calculation (PBE) on Re2RuW after structural relaxation.

Properties
* ΔE to the lowest computed polymorph: 0.76 eV per formula unit
* calculated volume: 15.3 A^3/atom
* space group: Imm2, No. 44
* density of states at the Fermi level: 3.1 states/eV/f.u.
* ΔE_f: 0.249 eV per atom

Lattice parameters (Å, degrees): 5.2022 5.2022 5.2022 145.42 129.41 62.73
Element x y z (fractional)
Re1 0.0000 0.0000 0.0000
Re2 0.7470 0.2470 0.5000
Ru1 0.2752 0.7752 0.5000
W1 0.5157 0.5157 0.0000

[7]
VASP calculation (PBE) on ReRu3W after structural relaxation.

Properties
* ΔE to the lowest computed polymorph: 8.81 eV per formula unit
* calculated volume: 19.3 A^3/atom
* space group: Pm-3m, No. 221
* density of states at the Fermi level: 9.0 states/eV/f.u.
* ΔE_f: 2.085 eV per atom

Lattice parameters (Å, degrees): 4.5858 4.5858 4.5858 90.00 90.00 90.00
Element x y z (fractional)
Re1 0.0000 0.0000 0.0000
Ru1 0.0000 0.0000 0.5000
Ru2 0.0000 0.5000 0.0000
Ru3 0.5000 0.0000 0.0000
W1 0.5000 0.5000 0.5000

[8]
VASP calculation (PBE) on Re2RuW after structural relaxation.

Properties
* ΔE to the lowest computed polymorph: 0.06 eV per formula unit
* calculated volume: 15.0 A^3/atom
* space group: C2/m, No. 12
* density of states at the Fermi level: 2.9 states/eV/f.u.
* ΔE_f: 0.073 eV per atom

Lattice parameters (Å, degrees): 4.8038 4.8038 4.7974 99.43 99.43 33.50
Element x y z (fractional)
Re1 0.2441 0.2441 0.2410
Re2 0.7559 0.7559 0.7590
Ru1 0.5000 0.5000 0.0000
W1 0.0000 0.0000 0.5000

The following theoretical density values (in g cm⁻³) correspond, in order, to the records above: 17.640, 18.126, 18.130, 12.079, 18.060, 17.873, 11.593, 18.132.